(1)
Computed, not measured: a geometry-optimized Ti2Ni7Sn2Pt structure at the PBE level of DFT.

```
Ti2Ni7Sn2Pt
1.0
3.4657 -0.0023 -0.0110
0.0020 3.4657 -0.0110
1.7613 1.7592 14.7374
Ti Ni Sn Pt
2 7 2 1
Direct
0.6239 0.6239 0.7490
0.3761 0.3761 0.2510
0.5000 0.5000 0.0000
0.2776 0.2776 0.4494
0.7224 0.7224 0.5506
0.9347 0.4348 0.1333
0.4348 0.9347 0.1333
0.5652 0.0653 0.8667
0.0653 0.5652 0.8667
0.8149 0.8149 0.3748
0.1851 0.1851 0.6252
0.0000 0.0000 0.0000
```

**Density of states at the Fermi level**: 1.147 states/eV/atom
**Uncorrected energy**: -5.93 eV/atom
**Formation enthalpy at 0 K**: -0.08 eV/atom
**SG**: C2/m, No. 12
**Calculated volume**: 14.763 A^3/atom

(2)
Computed, not measured: a geometry-optimized Ho4PAuS2 structure at the PBE level of DFT.

```
Ho4PAuS2
1.0
-0.7552 -2.6832 -2.7674
3.3856 -4.8070 3.7368
-4.5108 -3.0786 4.2158
Ho P Au S
4 1 1 2
Direct
0.0000 0.7604 0.7384
0.0000 0.2396 0.2616
0.5000 0.7507 0.2603
0.5000 0.2493 0.7397
0.0000 0.5000 0.5000
0.5000 0.5000 0.0000
0.0000 0.0000 0.0000
0.5000 0.0000 0.5000
```

**Density of states at the Fermi level**: 0.426 states/eV/atom
**Formation energy without anion corrections**: -1.564 eV/atom
**Uncorrected energy**: -5.97 eV/atom
**SG**: P2/m, No. 10
**Calculated volume**: 22.374 A^3/atom

(3)
Computed, not measured: a geometry-optimized Al2Ge2Cl structure at the PBE level of DFT.

```
Al2Ge2Cl
1.0
8.0851 0.0000 0.0000
0.0000 8.0851 0.0000
0.0000 0.0000 2.9616
Ge Al Cl
4 4 2
Direct
0.3492 0.8492 0.0000
0.8492 0.6508 0.0000
0.6508 0.1508 0.0000
0.1508 0.3492 0.0000
0.1471 0.6471 0.5000
0.6471 0.8529 0.5000
0.8529 0.3529 0.5000
0.3529 0.1471 0.5000
0.0000 0.0000 0.0000
0.5000 0.5000 0.0000
```

**Density of states at the Fermi level**: 0.353 states/eV/atom
**Polymorph energy (0 for the lowest one)**: 106 meV per atom
**Formation energy without anion corrections**: 0.078 eV/atom
**Uncorrected energy**: -3.64 eV/atom
**SG**: P4/mbm, No. 127
**Calculated volume**: 19.360 A^3/atom